Entry 1:
The following is a DFT calculation (meta-GGA SCAN) of a PBEsol-optimized structure of Zr2ScCl.

## Properties
* total magnetic moment: 0.0 μB per formula unit
* symmetry: Pmmm (47)
* E_form (uncorrected): -0.06 eV/atom
* V: 21.36 Å³/atom

Cell: 3.1647 5.0079 5.3915 Å, 90.00 90.00 90.00°
With the nearest neighbours (Å) after each atom.
Fractional coordinates of all 4 atoms:
1 Zr 0.0000 0.0000 0.7377  2 Zr 2.56-2.83
2 Zr 0.0000 0.0000 0.2623  2 Zr 2.56-2.83
3 Cl 0.5000 0.5000 0.0000  2 Sc 2.70
4 Sc 0.5000 0.5000 0.5000  2 Cl 2.70

=====

Entry 2:
The following is a DFT calculation (meta-GGA SCAN) of a PBEsol-optimized structure of Zr2ScCl.

## Properties
* total magnetic moment: 0.0 μB per formula unit
* symmetry: Cmmm (65)
* E_form (uncorrected): -0.05 eV/atom
* V: 20.12 Å³/atom

Cell: 3.1605 5.1976 5.1976 Å, 109.48 90.00 90.00°
With the nearest neighbours (Å) after each atom.
Fractional coordinates of all 4 atoms:
1 Cl 0.5000 0.0000 0.0000  2 Sc 3.00, 8 Zr 3.04, 2 Cl 3.16
2 Zr 0.0000 0.0000 0.5000  4 Zr 3.00-3.16, 4 Cl 3.04, 4 Sc 3.04
3 Zr 0.0000 0.5000 0.0000  4 Zr 3.00-3.16, 4 Sc 3.04, 4 Cl 3.04
4 Sc 0.5000 0.5000 0.5000  2 Cl 3.00, 8 Zr 3.04, 2 Sc 3.16

=====

Values for N(E_F), states/eV per atom, ordered as above
0.903; 1.047